# Zr2TlCrF (PBE with a Hubbard U, optimized geometry)
# Electronic total energy = -25.845 eV for the cell shown
# DOS(E_F) = 0.7200 states/eV/atom
# Calculated volume = 123.9 Å³ per cell
# Crystal system = tetragonal
# Space group = P4/mmm (123)
data_Zr2TlCrF
_cell_length_a 4.894
_cell_length_b 5.174
_cell_length_c 4.894
_cell_angle_alpha 90.00
_cell_angle_beta 90.00
_cell_angle_gamma 90.00
_symmetry_space_group_name_H-M 'P 1'
_symmetry_Int_Tables_number 1
_symmetry_space_group_name_Hall 'P 1'
loop_
_atom_site_label
_atom_site_type_symbol
_atom_site_fract_x
_atom_site_fract_y
_atom_site_fract_z
_atom_site_occupancy
Cr1 Cr 0.000 0.000 0.000 1
Tl1 Tl 0.000 0.500 0.000 1
Zr1 Zr 0.000 0.000 0.500 1
Zr2 Zr 0.500 0.000 0.000 1
F1 F 0.500 0.500 0.500 1